[1]
Here is BeSi2Sb after structural relaxation from Alexandria. Energies are from PBE-GGA.

Computed properties:
Symmetry: F-43m

The structure in POSCAR format:
```
BeSi2Sb
1.0
6.4633 0.0000 0.0000
0.0000 6.4633 0.0000
0.0000 0.0000 6.4633
Be Si Sb
4 8 4
direct
0.0000 0.0000 0.0000
0.0000 0.5000 0.5000
0.5000 0.0000 0.5000
0.5000 0.5000 0.0000
0.0000 0.0000 0.5000
0.0000 0.5000 0.0000
0.2500 0.2500 0.2500
0.2500 0.7500 0.7500
0.5000 0.0000 0.0000
0.5000 0.5000 0.5000
0.7500 0.2500 0.7500
0.7500 0.7500 0.2500
0.2500 0.2500 0.7500
0.2500 0.7500 0.2500
0.7500 0.2500 0.2500
0.7500 0.7500 0.7500
```

[2]
Here is BeSi2Sb after structural relaxation from Alexandria. Energies are from PBE-GGA.

Computed properties:
Symmetry: Fm-3m

The structure in POSCAR format:
```
BeSi2Sb
1.0
6.5338 0.0000 0.0000
0.0000 6.5338 0.0000
0.0000 0.0000 6.5338
Be Si Sb
4 8 4
direct
0.0000 0.0000 0.0000
0.0000 0.5000 0.5000
0.5000 0.0000 0.5000
0.5000 0.5000 0.0000
0.2500 0.2500 0.2500
0.2500 0.2500 0.7500
0.2500 0.7500 0.2500
0.2500 0.7500 0.7500
0.7500 0.2500 0.2500
0.7500 0.2500 0.7500
0.7500 0.7500 0.2500
0.7500 0.7500 0.7500
0.0000 0.0000 0.5000
0.0000 0.5000 0.0000
0.5000 0.0000 0.0000
0.5000 0.5000 0.5000
```

[3]
Here is Be2Si2Sb after structural relaxation from Alexandria. Energies are from PBE-GGA.

Computed properties:
Symmetry: P4/mbm

The structure in POSCAR format:
```
Be2Si2Sb
1.0
7.2879 0.0000 0.0000
0.0000 7.2879 0.0000
0.0000 0.0000 2.8276
Be Si Sb
4 4 2
direct
0.1586 0.3414 0.0000
0.3414 0.8414 0.0000
0.6586 0.1586 0.0000
0.8414 0.6586 0.0000
0.1235 0.6235 0.5000
0.3765 0.1235 0.5000
0.6235 0.8765 0.5000
0.8765 0.3765 0.5000
0.0000 0.0000 0.0000
0.5000 0.5000 0.0000
```

[4]
Here is BeSi2Sb after structural relaxation from Alexandria. Energies are from PBE-GGA.

Computed properties:
Symmetry: Cmm2

The structure in POSCAR format:
```
BeSi2Sb
1.0
4.5806 0.0000 0.0000
0.0000 4.8481 0.0000
0.0000 0.0000 6.5054
Be Si Sb
2 4 2
direct
0.0000 0.0000 0.0000
0.5000 0.5000 0.0000
0.0000 0.0000 0.3467
0.0000 0.5000 0.1971
0.5000 0.0000 0.1971
0.5000 0.5000 0.3467
0.0000 0.5000 0.7784
0.5000 0.0000 0.7784
```

The records above yield formation energy without anion corrections values of 0.745 0.814 0.522 0.451 eV per atom, respectively.